Material: Pm2PrRuO8
Method: DFT, PBE-GGA
State: relaxed

Uncorrected energy, eV per atom: -7.5450
Magnetic moment, μB per formula unit: 1.04
ΔE_f (raw), eV/atom: -2.2765

abc: 5.1839 7.0058 5.1887
angles: 90.00 90.34 90.00
Space group P2/m (No. 10)
Asymmetric unit:
1 Pm 0.0000 0.2484 0.0000 [2 per cell]
2 Pr 0.5000 0.5000 0.5000 [1 per cell]
3 Ru 0.5000 0.0000 0.5000 [1 per cell]
4 O 0.1880 0.5000 0.8145 [2 per cell]
5 O 0.2448 0.0000 0.7573 [2 per cell]
6 O 0.3175 0.2023 0.3198 [4 per cell]

***

Material: PmPrS2O
Method: DFT, PBE-GGA
State: relaxed

Uncorrected energy, eV per atom: -7.0146
Magnetic moment, μB per formula unit: 0.00
ΔE_f (raw), eV/atom: -2.4660

abc: 4.0137 4.0137 14.4120
angles: 90.00 90.00 90.00
Space group P4/nmm (No. 129, origin choice 2)
Asymmetric unit:
1 Pm 0.2500 0.2500 0.0817 [2 per cell]
2 Pr 0.2500 0.2500 0.6294 [2 per cell]
3 S 0.2500 0.2500 0.4088 [2 per cell]
4 S 0.2500 0.2500 0.8107 [2 per cell]
5 O 0.2500 0.7500 0.0000 [2 per cell]

***

Material: PmPrSO
Method: DFT, PBE-GGA
State: relaxed

Uncorrected energy, eV per atom: -6.9967
Magnetic moment, μB per formula unit: 0.00
ΔE_f (raw), eV/atom: -2.3428

abc: 3.9151 3.9151 41.0115
angles: 90.00 90.00 120.00
Space group R-3m (No. 166, hexagonal axes)
Asymmetric unit:
1 Pm 0.0000 0.0000 0.2459 [6 per cell]
2 Pr 0.0000 0.0000 0.0000 [3 per cell]
3 Pr 0.0000 0.0000 0.5000 [3 per cell]
4 S 0.0000 0.0000 0.3762 [6 per cell]
5 O 0.0000 0.0000 0.1922 [6 per cell]

***

Material: PmPrSO2
Method: DFT, PBE-GGA
State: relaxed

Uncorrected energy, eV per atom: -7.6671
Magnetic moment, μB per formula unit: 0.00
ΔE_f (raw), eV/atom: -2.9523

abc: 3.9154 3.9154 12.4381
angles: 90.00 90.00 90.00
Space group I4mm (No. 107)
Asymmetric unit:
1 Pm 0.0000 0.0000 0.0000 [2 per cell]
2 Pr 0.0000 0.0000 0.3013 [2 per cell]
3 S 0.0000 0.0000 0.6524 [2 per cell]
4 O 0.0000 0.5000 0.4040 [4 per cell]

***

Material: Pm2PrSbO8
Method: DFT, PBE-GGA
State: relaxed

Uncorrected energy, eV per atom: -7.2332
Magnetic moment, μB per formula unit: 1.71
ΔE_f (raw), eV/atom: -2.3942

abc: 4.2006 7.4942 5.3975
angles: 90.00 93.85 90.00
Space group P2/m (No. 10)
Asymmetric unit:
1 Pm 0.0000 0.2462 0.0000 [2 per cell]
2 Pr 0.5000 0.5000 0.5000 [1 per cell]
3 Sb 0.5000 0.0000 0.5000 [1 per cell]
4 O 0.0038 0.5000 0.2476 [2 per cell]
5 O 0.0744 0.0000 0.3049 [2 per cell]
6 O 0.4555 0.2087 0.7418 [4 per cell]

***

Material: PmPr2ScO6
Method: DFT, PBE-GGA
State: relaxed

Uncorrected energy, eV per atom: -8.3868
Magnetic moment, μB per formula unit: 0.00
ΔE_f (raw), eV/atom: -3.3478

abc: 5.7946 6.0465 10.2179
angles: 90.00 123.82 90.00
Space group P2_1/c (No. 14)
Asymmetric unit:
1 Pm 0.0000 0.0000 0.0000 [2 per cell]
2 Pr 0.2696 0.0541 0.7488 [4 per cell]
3 Sc 0.5000 0.0000 0.5000 [2 per cell]
4 O 0.1307 0.0609 0.2630 [4 per cell]
5 O 0.2761 0.6865 0.0676 [4 per cell]
6 O 0.3922 0.2079 0.0745 [4 per cell]

***

Material: PmPrSe2O
Method: DFT, PBE-GGA
State: relaxed

Uncorrected energy, eV per atom: -6.6604
Magnetic moment, μB per formula unit: 0.00
ΔE_f (raw), eV/atom: -2.3690

abc: 4.1099 4.1099 15.0798
angles: 90.00 90.00 90.00
Space group P4/nmm (No. 129, origin choice 2)
Asymmetric unit:
1 Pm 0.2500 0.2500 0.0751 [2 per cell]
2 Pr 0.2500 0.2500 0.6325 [2 per cell]
3 Se 0.2500 0.2500 0.4116 [2 per cell]
4 Se 0.2500 0.2500 0.8145 [2 per cell]
5 O 0.2500 0.7500 0.0000 [2 per cell]

***

Material: PmPrSeO2
Method: DFT, PBE-GGA
State: relaxed

Uncorrected energy, eV per atom: -7.5557
Magnetic moment, μB per formula unit: 0.00
ΔE_f (raw), eV/atom: -2.9695

abc: 3.9738 3.9738 12.6406
angles: 90.00 90.00 90.00
Space group I4mm (No. 107)
Asymmetric unit:
1 Pm 0.0000 0.0000 0.0000 [2 per cell]
2 Pr 0.0000 0.0000 0.3083 [2 per cell]
3 Se 0.0000 0.0000 0.6552 [2 per cell]
4 O 0.0000 0.5000 0.4074 [4 per cell]